(1)
# Ag2IrCl | the Alexandria database | PBE | relaxed
# - ΔE_f (raw): 51.0 kJ/mol of atoms
# - Volume: 17.5 Å³ per atom
data_Ag2IrCl
_chemical_formula_sum 'Ag2 Ir1 Cl1'
_cell_length_a 2.9219
_cell_length_b 2.9219
_cell_length_c 8.1960
_cell_angle_alpha 90.00
_cell_angle_beta 90.00
_cell_angle_gamma 90.00
_space_group_name_H-M_alt 'P 1'
_space_group_IT_number 1
loop_
_space_group_symop_operation_xyz
'x,y,z'
loop_
_atom_site_label
_atom_site_fract_x
_atom_site_fract_y
_atom_site_fract_z
Ag1 0.0000 0.0000 0.9887
Ag2 0.5000 0.5000 0.2422
Cl1 0.0000 0.0000 0.5221
Ir1 0.5000 0.5000 0.7469



(2)
# Ag2IrCl5 | the Alexandria database | PBE | relaxed
# - ΔE_f (raw): -36.9 kJ/mol of atoms
# - Volume: 28.0 Å³ per atom
data_Ag2IrCl5
_chemical_formula_sum 'Ag2 Ir1 Cl5'
_cell_length_a 4.6623
_cell_length_b 7.2442
_cell_length_c 7.3321
_cell_angle_alpha 84.51
_cell_angle_beta 71.66
_cell_angle_gamma 72.45
_space_group_name_H-M_alt 'P 1'
_space_group_IT_number 1
loop_
_space_group_symop_operation_xyz
'x,y,z'
loop_
_atom_site_label
_atom_site_fract_x
_atom_site_fract_y
_atom_site_fract_z
Ag1 0.7737 0.9533 0.5647
Ag2 0.6631 0.5837 0.1215
Cl1 0.9563 0.3386 0.8420
Cl2 0.0458 0.7586 0.2097
Cl3 0.5460 0.9855 0.9952
Cl4 0.2343 0.8747 0.7200
Cl5 0.7778 0.2311 0.3044
Ir1 0.0030 0.0516 0.0195



(3)
# Ag2IrCl6 | the Alexandria database | PBE | relaxed
# - ΔE_f (raw): -43.6 kJ/mol of atoms
# - Volume: 24.8 Å³ per atom
data_Ag2IrCl6
_chemical_formula_sum 'Ag4 Ir2 Cl12'
_cell_length_a 6.6707
_cell_length_b 6.3546
_cell_length_c 10.5373
_cell_angle_alpha 90.00
_cell_angle_beta 89.55
_cell_angle_gamma 90.00
_space_group_name_H-M_alt 'P 1'
_space_group_IT_number 1
loop_
_space_group_symop_operation_xyz
'x,y,z'
loop_
_atom_site_label
_atom_site_fract_x
_atom_site_fract_y
_atom_site_fract_z
Cl1 0.1588 0.2691 0.3828
Cl2 0.3595 0.6362 0.8144
Cl3 0.6588 0.2309 0.8828
Cl4 0.1405 0.1362 0.6856
Cl5 0.7089 0.2020 0.5279
Cl6 0.8412 0.7309 0.6172
Cl7 0.7911 0.7020 0.9721
Cl8 0.8595 0.8638 0.3144
Cl9 0.3412 0.7691 0.1172
Cl10 0.2911 0.7980 0.4721
Cl11 0.2089 0.2980 0.0279
Cl12 0.6405 0.3638 0.1856
Ag1 0.4827 0.0373 0.3011
Ag2 0.0173 0.5373 0.1989
Ag3 0.5173 0.9627 0.6989
Ag4 0.9827 0.4627 0.8011
Ir1 0.5000 0.5000 0.0000
Ir2 0.0000 0.0000 0.5000



(4)
# AgIr2Cl | the Alexandria database | PBE | relaxed
# - ΔE_f (raw): 46.3 kJ/mol of atoms
# - Volume: 16.4 Å³ per atom
data_AgIr2Cl
_chemical_formula_sum 'Ag1 Ir2 Cl1'
_cell_length_a 2.8866
_cell_length_b 2.8866
_cell_length_c 9.2637
_cell_angle_alpha 90.00
_cell_angle_beta 90.00
_cell_angle_gamma 121.64
_space_group_name_H-M_alt 'P 1'
_space_group_IT_number 1
loop_
_space_group_symop_operation_xyz
'x,y,z'
loop_
_atom_site_label
_atom_site_fract_x
_atom_site_fract_y
_atom_site_fract_z
Ag1 0.0000 0.0000 0.4976
Cl1 0.5000 0.5000 0.7719
Ir1 0.0000 0.0000 0.9971
Ir2 0.5000 0.5000 0.2333



N(E_F): 0.9100; 0.2623; 1.1239; 0.9331 (states/eV per atom)